# SrBeZn2

A relaxed SrBeZn2 crystal (PBE, Alexandria via LeMat-Bulk).

It has space group P4/mmm (No. 123), with a = 4.418 Å, b = 4.418 Å, c = 4.491 Å, α = 90.00°, β = 90.00° and γ = 90.00°. Symmetry generates all atoms from Sr at (0.000, 0.000, 0.000), Be at (0.500, 0.500, 0.000) and Zn at (0.000, 0.500, 0.500).

The energy comes out at -6.44 eV per cell. Its total moment is 0.00 μB/atom. The calculation puts the volume at 21.916 A^3/atom.